DFT (PBE-GGA) results for a relaxed Nd3Pu2ScSe6 crystal.

a = 4.1260 Å, b = 8.3303 Å, c = 9.2762 Å
α = 103.45°, β = 102.85°, γ = 90.00°
Site moments in Bohr magnetons follow the coordinates.
Fractional positions:
Nd: 0.5000 0.5000 0.0000  0.04
Nd: 0.8308 0.1653 0.6615  0.02
Nd: 0.1692 0.8347 0.3385  0.02
Pu: 0.8353 0.6684 0.6706  5.41
Pu: 0.1647 0.3316 0.3294  5.41
Sc: 0.5000 0.0000 0.0000  0.10
Se: 0.3412 0.9157 0.6824  -0.03
Se: 0.6691 0.5785 0.3382  -0.05
Se: 0.6588 0.0843 0.3176  -0.03
Se: 0.9995 0.2318 0.9991  -0.01
Se: 0.0005 0.7682 0.0009  -0.01
Se: 0.3309 0.4215 0.6618  -0.05

Computed properties:
raw formation energy	-1.6979	eV/atom
total magnetic moment	11.59	μB/cell
theoretical density	7.918	Mg/m³
DFT total energy	-90.58	eV/cell


DFT (PBE-GGA) results for a relaxed Rb2CdAgHg crystal.

a = 6.6388 Å, b = 6.6388 Å, c = 5.4385 Å
α = 90.00°, β = 90.00°, γ = 90.00°
Fractional positions:
Rb: 0.0000 0.5000 0.0000
Rb: 0.5000 0.0000 0.0000
Hg: 0.5000 0.5000 0.5000
Ag: 0.0000 0.0000 0.0000
Cd: 0.0000 0.0000 0.5000

Computed properties:
distance to the lowest polymorph of the same formula	0.0	meV per atom
total magnetic moment	0.20	μB/cell
theoretical density	4.100	Mg/m³
calculated formation energy	0.17	eV/f.u.
DFT total energy	-5.84	eV/cell


DFT (PBE-GGA) results for a relaxed KCoTeI2 crystal.

a = 6.2920 Å, b = 6.2920 Å, c = 6.3027 Å
α = 90.00°, β = 90.00°, γ = 90.00°
Site moments in Bohr magnetons follow the coordinates.
Fractional positions:
I: 0.0000 0.5000 0.0000  0.05
I: 0.5000 0.0000 0.0000  0.05
K: 0.0000 0.0000 0.0000  0.00
Te: 0.0000 0.0000 0.5000  0.02
Co: 0.5000 0.5000 0.5000  2.36

Computed properties:
raw formation energy	0.9526	eV/atom
distance to the lowest polymorph of the same formula	1258.7	meV per atom
total magnetic moment	2.80	μB/cell
theoretical density	3.191	Mg/m³
DFT total energy	-9.68	eV/cell


DFT (PBE-GGA) results for a relaxed Cs2TlGeCl5 crystal.

a = 5.2290 Å, b = 9.7756 Å, c = 13.6128 Å
α = 90.00°, β = 90.00°, γ = 105.51°
Fractional positions:
Cs: 0.8510 0.7020 0.8387
Cs: 0.1047 0.2093 0.6891
Cs: 0.1490 0.2980 0.3387
Cs: 0.8953 0.7907 0.1891
Tl: 0.7934 0.5867 0.5447
Tl: 0.2066 0.4133 0.0447
Ge: 0.5334 0.0668 0.9416
Ge: 0.4666 0.9332 0.4416
Cl: 0.3631 0.7261 0.0151
Cl: 0.6545 0.3090 0.8784
Cl: 0.4842 0.9683 0.7818
Cl: 0.2871 0.5742 0.6756
Cl: 0.9737 0.9474 0.4590
Cl: 0.6369 0.2739 0.5151
Cl: 0.3455 0.6910 0.3784
Cl: 0.5158 0.0317 0.2818
Cl: 0.7129 0.4258 0.1756
Cl: 0.0263 0.0526 0.9590

Computed properties:
raw formation energy	-1.3920	eV/atom
total magnetic moment	0.00	μB/cell
theoretical density	3.567	Mg/m³
DFT total energy	-60.90	eV/cell


DFT (PBE-GGA) results for a relaxed K2AgP crystal.

a = 12.3899 Å, b = 12.3899 Å, c = 9.0769 Å
α = 46.96°, β = 46.96°, γ = 90.00°
Fractional positions:
P: 0.5000 0.5000 0.0000
P: 0.2500 0.7500 0.5000
K: 0.4142 0.1250 0.2500
K: 0.3358 0.6250 0.2500
K: 0.3750 0.5858 0.7500
K: 0.8750 0.6642 0.7500
Ag: 0.0000 0.0000 0.0000
Ag: 0.7500 0.2500 0.5000

Computed properties:
total magnetic moment	0.00	μB/cell
theoretical density	1.978	Mg/m³
calculated formation energy	-0.63	eV/f.u.
DFT total energy	-22.18	eV/cell


DFT (PBE-GGA) results for a relaxed Dy6Er12In crystal.

a = 8.3841 Å, b = 8.3841 Å, c = 8.3841 Å
α = 88.76°, β = 88.76°, γ = 88.76°
Fractional positions:
Dy: 0.7417 0.9056 0.2989
Dy: 0.7011 0.2583 0.0944
Dy: 0.0944 0.7011 0.2583
Dy: 0.2583 0.0944 0.7011
Dy: 0.2989 0.7417 0.9056
Dy: 0.9056 0.2989 0.7417
Er: 0.7787 0.5397 0.4345
Er: 0.4345 0.7787 0.5397
Er: 0.5397 0.4345 0.7787
Er: 0.2213 0.4603 0.5655
Er: 0.5655 0.2213 0.4603
Er: 0.4603 0.5655 0.2213
Er: 0.0118 0.1872 0.3610
Er: 0.8128 0.6390 0.9882
Er: 0.6390 0.9882 0.8128
Er: 0.9882 0.8128 0.6390
Er: 0.1872 0.3610 0.0118
Er: 0.3610 0.0118 0.1872
In: 0.0000 0.0000 0.0000

Computed properties:
total magnetic moment	0.00	μB/cell
theoretical density	8.732	Mg/m³
calculated formation energy	1.43	eV/f.u.
DFT total energy	-83.67	eV/cell


DFT (PBE-GGA) results for a relaxed Li2ReNi crystal.

a = 2.5750 Å, b = 2.5750 Å, c = 8.9242 Å
α = 90.00°, β = 90.00°, γ = 115.36°
Site moments in Bohr magnetons follow the coordinates.
Fractional positions:
Li: 0.0000 0.0000 0.0153  0.00
Li: 0.0000 0.0000 0.4847  0.00
Ni: 0.5000 0.5000 0.2500  0.23
Re: 0.5000 0.5000 0.7500  0.00

Computed properties:
distance to the lowest polymorph of the same formula	63.6	meV per atom
total magnetic moment	0.20	μB/cell
theoretical density	8.036	Mg/m³
calculated formation energy	0.69	eV/f.u.
DFT total energy	-21.37	eV/cell


DFT (PBE-GGA) results for a relaxed CaSm2Tl9 crystal.

a = 4.8176 Å, b = 4.8176 Å, c = 14.4931 Å
α = 90.00°, β = 90.00°, γ = 90.00°
Fractional positions:
Ca: 0.0000 0.0000 0.0000
Sm: 0.0000 0.0000 0.3376
Sm: 0.0000 0.0000 0.6624
Tl: 0.5000 0.5000 0.0000
Tl: 0.5000 0.5000 0.3328
Tl: 0.5000 0.5000 0.6672
Tl: 0.5000 0.0000 0.1685
Tl: 0.5000 0.0000 0.5000
Tl: 0.5000 0.0000 0.8315
Tl: 0.0000 0.5000 0.1685
Tl: 0.0000 0.5000 0.5000
Tl: 0.0000 0.5000 0.8315

Computed properties:
total magnetic moment	0.00	μB/cell
theoretical density	10.763	Mg/m³
calculated formation energy	-3.27	eV/f.u.
DFT total energy	-36.01	eV/cell


DFT (PBE-GGA) results for a relaxed Nd2Dy5Y3 crystal.

a = 9.4388 Å, b = 9.5008 Å, c = 11.1746 Å
α = 125.38°, β = 125.26°, γ = 68.62°
Fractional positions:
Nd: 0.7773 0.0139 0.7426
Nd: 0.2227 0.9861 0.2574
Nd: 0.4653 0.7287 0.7426
Nd: 0.5347 0.2713 0.2574
Dy: 0.2781 0.5281 0.0562
Dy: 0.7219 0.4719 0.9438
Dy: 0.0206 0.7706 0.5412
Dy: 0.5241 0.2741 0.5482
Dy: 0.9794 0.2294 0.4588
Dy: 0.4759 0.7259 0.4518
Dy: 0.8639 0.6089 0.7556
Dy: 0.1361 0.3911 0.2444
Dy: 0.3916 0.1467 0.7556
Dy: 0.6084 0.8533 0.2444
Y: 0.2300 0.9800 0.9601
Y: 0.7700 0.0200 0.0399
Y: 0.7323 0.4654 0.2448
Y: 0.2677 0.5346 0.7552
Y: 0.0125 0.7793 0.2448
Y: 0.9875 0.2207 0.7552

Computed properties:
total magnetic moment	0.00	μB/cell
theoretical density	6.816	Mg/m³
calculated formation energy	1.96	eV/f.u.
DFT total energy	-99.95	eV/cell


DFT (PBE-GGA) results for a relaxed Ac6Tl2S crystal.

a = 7.1782 Å, b = 9.1448 Å, c = 10.6210 Å
α = 90.00°, β = 89.04°, γ = 90.00°
Fractional positions:
Ac: 0.1229 0.0342 0.2285
Ac: 0.1305 0.3068 0.5628
Ac: 0.1441 0.3349 0.9410
Ac: 0.3559 0.8349 0.5590
Ac: 0.3695 0.8068 0.9372
Ac: 0.3771 0.5342 0.2715
Ac: 0.8771 0.9658 0.7715
Ac: 0.8695 0.6932 0.4372
Ac: 0.8559 0.6651 0.0590
Ac: 0.6441 0.1651 0.4410
Ac: 0.6305 0.1932 0.0628
Ac: 0.6229 0.4658 0.7285
Tl: 0.0657 0.6210 0.7419
Tl: 0.4343 0.1210 0.7581
Tl: 0.5657 0.8790 0.2419
Tl: 0.9343 0.3790 0.2581
S: 0.5000 0.5000 0.0000
S: 0.0000 0.0000 0.5000

Computed properties:
raw formation energy	-0.5535	eV/atom
total magnetic moment	0.00	μB/cell
theoretical density	8.589	Mg/m³
DFT total energy	-76.98	eV/cell


DFT (PBE-GGA) results for a relaxed LiTa2Te crystal.

a = 3.9021 Å, b = 3.9021 Å, c = 10.7144 Å
α = 79.51°, β = 79.51°, γ = 90.00°
Fractional positions:
Te: 0.0000 0.0000 0.0000
Te: 0.7500 0.2500 0.5000
Li: 0.5000 0.5000 0.0000
Li: 0.2500 0.7500 0.5000
Ta: 0.6284 0.1250 0.2500
Ta: 0.1216 0.6250 0.2500
Ta: 0.3750 0.3716 0.7500
Ta: 0.8750 0.8784 0.7500

Computed properties:
raw formation energy	0.3669	eV/atom
total magnetic moment	0.00	μB/cell
theoretical density	10.459	Mg/m³
DFT total energy	-54.59	eV/cell


DFT (PBE-GGA) results for a relaxed YZr2O crystal.

a = 3.3331 Å, b = 3.3331 Å, c = 8.8950 Å
α = 79.20°, β = 79.20°, γ = 60.00°
Fractional positions:
Y: 0.0000 0.0000 0.0000
O: 0.5000 0.5000 0.5000
Zr: 0.1194 0.1194 0.6419
Zr: 0.8806 0.8806 0.3581

Computed properties:
raw formation energy	-0.9162	eV/atom
total magnetic moment	0.00	μB/cell
theoretical density	5.711	Mg/m³
DFT total energy	-32.18	eV/cell


DFT (PBE-GGA) results for a relaxed TbCeDyPa crystal.

a = 5.5299 Å, b = 5.5299 Å, c = 5.5299 Å
α = 60.00°, β = 60.00°, γ = 60.00°
Site moments in Bohr magnetons follow the coordinates.
Fractional positions:
Pa: 0.5000 0.5000 0.5000  1.46
Tb: 0.0000 0.0000 0.0000  0.37
Ce: 0.2500 0.2500 0.2500  1.06
Dy: 0.7500 0.7500 0.7500  0.42

Computed properties:
total magnetic moment	4.44	μB/cell
theoretical density	9.618	Mg/m³
calculated formation energy	1.49	eV/f.u.
DFT total energy	-23.17	eV/cell


DFT (PBE-GGA) results for a relaxed SmSn3Ru crystal.

a = 9.7623 Å, b = 9.7623 Å, c = 9.7623 Å
α = 90.00°, β = 90.00°, γ = 90.00°
Fractional positions:
Sm: 0.0000 0.5000 0.7500
Sm: 0.5000 0.2500 0.0000
Sm: 0.7500 0.0000 0.5000
Sm: 0.0000 0.5000 0.2500
Sm: 0.5000 0.7500 0.0000
Sm: 0.2500 0.0000 0.5000
Sm: 0.5000 0.5000 0.5000
Sm: 0.0000 0.0000 0.0000
Sn: 0.8139 0.3450 0.5000
Sn: 0.6550 0.5000 0.8139
Sn: 0.5000 0.1861 0.6550
Sn: 0.1861 0.6550 0.5000
Sn: 0.3450 0.5000 0.1861
Sn: 0.5000 0.8139 0.3450
Sn: 0.8139 0.6550 0.5000
Sn: 0.6550 0.5000 0.1861
Sn: 0.1861 0.3450 0.5000
Sn: 0.3450 0.5000 0.8139
Sn: 0.5000 0.8139 0.6550
Sn: 0.5000 0.1861 0.3450
Sn: 0.3139 0.0000 0.8450
Sn: 0.1550 0.3139 0.0000
Sn: 0.0000 0.1550 0.6861
Sn: 0.6861 0.0000 0.1550
Sn: 0.8450 0.6861 0.0000
Sn: 0.0000 0.8450 0.3139
Sn: 0.3139 0.0000 0.1550
Sn: 0.1550 0.6861 0.0000
Sn: 0.6861 0.0000 0.8450
Sn: 0.8450 0.3139 0.0000
Sn: 0.0000 0.1550 0.3139
Sn: 0.0000 0.8450 0.6861
Ru: 0.7500 0.2500 0.7500
Ru: 0.2500 0.7500 0.2500
Ru: 0.7500 0.7500 0.2500
Ru: 0.2500 0.2500 0.7500
Ru: 0.2500 0.7500 0.7500
Ru: 0.7500 0.2500 0.2500
Ru: 0.2500 0.2500 0.2500
Ru: 0.7500 0.7500 0.7500

Computed properties:
total magnetic moment	0.00	μB/cell
theoretical density	8.675	Mg/m³
calculated formation energy	-2.39	eV/f.u.
DFT total energy	-227.14	eV/cell